1.
Entry from the Alexandria database: a geometry-optimized Sm3DyEr4 structure (GGA-PBE).

Cell and atoms, written as POSCAR:
```
Sm3DyEr4
1.0
-1.731 5.790 6.457
1.731 -5.790 6.457
1.731 5.790 -6.457
Sm Dy Er
3 1 4
Cartesian
0.000 0.000 0.000 Sm
1.731 0.000 3.314 Sm
0.000 5.790 3.144 Sm
0.000 0.000 6.457 Dy
1.731 2.942 -1.742 Er
1.731 2.942 1.742 Er
0.000 2.848 4.715 Er
0.000 2.848 8.199 Er
```

Computed properties:
- theoretical density (g/cm3) = 8.228
- space-group type = Immm (71)
- V (Å³ per atom) = 32.36
- total moment (μB/f.u.) = 0.0
- DOS at the Fermi energy (states/eV per cell) = 12.72
- distance to the lowest polymorph of the same formula (meV per atom) = 120.6
- formation energy (kJ/mol of atoms) = 13
- crystal system = orthorhombic

***

2.
Entry from the Alexandria database: a geometry-optimized Dy3YTl2O structure (GGA-PBE).

Cell and atoms, written as POSCAR:
```
Dy3YTl2O
1.0
-2.318 2.325 8.224
2.318 -2.325 8.224
2.318 2.325 -8.224
Dy Y Tl O
3 1 2 1
Cartesian
0.000 0.000 0.000 Dy
2.318 0.000 2.813 Dy
0.000 2.325 5.411 Dy
0.000 0.000 8.224 Y
2.318 0.000 5.929 Tl
0.000 2.325 2.296 Tl
2.318 0.000 0.000 O
```

Computed properties:
- theoretical density (g/cm3) = 9.377
- space-group type = Immm (71)
- V (Å³ per atom) = 25.33
- total moment (μB/f.u.) = 0.0
- raw total energy (eV/atom) = -5.3355
- DOS at the Fermi energy (states/eV per cell) = 2.09
- crystal system = orthorhombic

***

3.
Entry from the Alexandria database: a geometry-optimized MnNb4Mo structure (GGA-PBE).

Cell and atoms, written as POSCAR:
```
MnNb4Mo
1.0
2.215 1.279 6.745
-2.215 1.279 6.745
0.000 -2.558 6.745
Mn Nb Mo
1 4 1
Cartesian
0.000 0.000 0.000 Mn
0.000 0.000 2.408 Nb
0.000 0.000 7.490 Nb
0.000 0.000 12.745 Nb
0.000 0.000 17.826 Nb
0.000 0.000 10.117 Mo
```

Computed properties:
- theoretical density (g/cm3) = 7.564
- space-group type = R-3m (166)
- V (Å³ per atom) = 19.12
- total moment (μB/f.u.) = 0.0
- DOS at the Fermi energy (states/eV per cell) = 5.54
- formation energy (kJ/mol of atoms) = 48
- crystal system = trigonal

***

4.
Entry from the Alexandria database: a geometry-optimized NiAg2PdCl6 structure (GGA-PBE).

Cell and atoms, written as POSCAR:
```
NiAg2PdCl6
1.0
6.520 0.000 0.000
0.000 6.639 0.000
-6.495 0.000 9.466
Ni Ag Pd Cl
2 4 2 12
Cartesian
0.000 0.000 0.000 Ni
-3.248 3.320 4.733 Ni
-3.320 0.357 7.111 Ag
-0.072 2.963 2.378 Ag
0.097 3.676 7.088 Ag
3.345 6.283 2.355 Ag
0.012 0.000 4.733 Pd
3.260 3.320 0.000 Pd
-2.065 1.329 4.176 Cl
-5.313 1.991 8.909 Cl
-1.283 4.561 4.194 Cl
-4.530 5.398 8.927 Cl
0.715 0.281 2.292 Cl
-2.533 3.038 7.025 Cl
2.558 3.601 2.441 Cl
-0.690 6.358 7.174 Cl
4.555 1.241 0.539 Cl
1.308 2.078 5.272 Cl
5.338 4.649 0.557 Cl
2.090 5.310 5.290 Cl
```

Computed properties:
- theoretical density (g/cm3) = 4.811
- space-group type = P2_1/c (14)
- V (Å³ per atom) = 20.49
- total moment (μB/f.u.) = 0.0
- raw total energy (eV/atom) = -3.1866
- DOS at the Fermi energy (states/eV per cell) = 0.11
- crystal system = monoclinic

***

5.
Entry from the Alexandria database: a geometry-optimized SrRhCl structure (GGA-PBE).

Cell and atoms, written as POSCAR:
```
SrRhCl
1.0
-2.963 4.179 2.832
2.963 -4.179 2.832
2.963 4.179 -2.832
Sr Rh Cl
2 2 2
Cartesian
0.000 0.000 0.000 Sr
0.000 4.179 0.000 Sr
2.963 2.090 0.614 Rh
0.000 2.090 2.218 Rh
1.481 2.090 -1.416 Cl
1.481 -2.090 1.416 Cl
```

Computed properties:
- theoretical density (g/cm3) = 5.351
- space-group type = Imma (74)
- V (Å³ per atom) = 23.38
- total moment (μB/f.u.) = 0.0
- DOS at the Fermi energy (states/eV per cell) = 1.58
- distance to the lowest polymorph of the same formula (meV per atom) = 587.1
- crystal system = orthorhombic

***

6.
Entry from the Alexandria database: a geometry-optimized Cs2PmHg2S4 structure (GGA-PBE).

Cell and atoms, written as POSCAR:
```
Cs2PmHg2S4
1.0
8.294 -2.082 0.000
8.294 2.082 0.000
-3.249 0.000 7.970
Cs Pm Hg S
2 1 2 4
Cartesian
1.912 0.000 0.498 Cs
11.427 0.000 7.472 Cs
-1.625 0.000 3.985 Pm
3.616 0.000 3.822 Hg
9.723 0.000 4.148 Hg
0.709 0.000 5.665 S
5.556 0.000 5.621 S
7.782 0.000 2.349 S
12.630 0.000 2.305 S
```

Computed properties:
- theoretical density (g/cm3) = 5.673
- space-group type = C2/m (12)
- V (Å³ per atom) = 30.58
- total moment (μB/f.u.) = 0.0
- raw total energy (eV/atom) = -3.6098
- DOS at the Fermi energy (states/eV per cell) = 3.28
- crystal system = monoclinic

***

7.
Entry from the Alexandria database: a geometry-optimized RbNiP structure (GGA-PBE).

Cell and atoms, written as POSCAR:
```
RbNiP
1.0
3.993 0.000 0.000
-0.019 6.470 0.000
-1.991 -1.973 6.170
Rb Ni P
2 2 2
Cartesian
0.000 0.000 0.000 Rb
-0.015 3.187 2.389 Rb
-0.010 0.048 3.780 Ni
1.986 1.164 4.780 Ni
-0.010 1.294 5.598 P
1.987 -0.080 2.961 P
```

Computed properties:
- theoretical density (g/cm3) = 3.649
- space-group type = P1 (1)
- V (Å³ per atom) = 26.56
- total moment (μB/f.u.) = 0.0
- DOS at the Fermi energy (states/eV per cell) = 3.15
- formation energy (kJ/mol of atoms) = -40
- crystal system = triclinic

***

8.
Entry from the Alexandria database: a geometry-optimized HoTmCoRh structure (GGA-PBE).

Cell and atoms, written as POSCAR:
```
HoTmCoRh
1.0
3.335 0.000 0.000
0.000 3.335 0.000
0.000 0.000 6.781
Ho Tm Co Rh
1 1 1 1
Cartesian
0.000 0.000 0.000 Ho
0.000 0.000 3.297 Tm
1.667 1.667 1.663 Co
1.667 1.667 5.014 Rh
```

Computed properties:
- theoretical density (g/cm3) = 10.917
- space-group type = P4mm (99)
- V (Å³ per atom) = 18.85
- total moment (μB/f.u.) = 0.5
- DOS at the Fermi energy (states/eV per cell) = 0.93
- distance to the lowest polymorph of the same formula (meV per atom) = 0.0
- formation energy (kJ/mol of atoms) = -55
- crystal system = tetragonal

***

9.
Entry from the Alexandria database: a geometry-optimized PPbSe2 structure (GGA-PBE).

Cell and atoms, written as POSCAR:
```
PPbSe2
1.0
1.803 1.041 9.031
-1.803 1.041 9.031
0.000 -2.082 9.031
P Pb Se
1 1 2
Cartesian
0.000 0.000 0.000 P
0.000 0.000 13.547 Pb
0.000 0.000 10.523 Se
0.000 0.000 16.571 Se
```

Computed properties:
- theoretical density (g/cm3) = 6.464
- space-group type = R-3m (166)
- V (Å³ per atom) = 25.44
- total moment (μB/f.u.) = 0.0
- DOS at the Fermi energy (states/eV per cell) = 1.12
- distance to the lowest polymorph of the same formula (meV per atom) = 122.9
- crystal system = trigonal

***

10.
Entry from the Alexandria database: a geometry-optimized RbAuS3 structure (GGA-PBE).

Cell and atoms, written as POSCAR:
```
RbAuS3
1.0
4.992 0.000 0.000
0.000 4.992 0.000
0.000 0.000 4.992
Rb Au S
1 1 3
Cartesian
0.000 0.000 0.000 Rb
2.496 2.496 2.496 Au
0.000 2.496 2.496 S
2.496 0.000 2.496 S
2.496 2.496 0.000 S
```

Computed properties:
- theoretical density (g/cm3) = 5.056
- space-group type = Pm-3m (221)
- V (Å³ per atom) = 24.87
- total moment (μB/f.u.) = 0.0
- raw total energy (eV/atom) = -3.2164
- DOS at the Fermi energy (states/eV per cell) = 6.21
- crystal system = cubic

***

11.
Entry from the Alexandria database: a geometry-optimized ScVIrSe2 structure (GGA-PBE).

Cell and atoms, written as POSCAR:
```
ScVIrSe2
1.0
4.716 0.000 0.000
0.000 4.716 0.000
0.000 0.000 4.649
Sc V Ir Se
1 1 1 2
Cartesian
0.000 0.000 0.000 Sc
2.358 2.358 2.325 V
2.358 2.358 0.000 Ir
0.000 2.358 2.325 Se
2.358 0.000 2.325 Se
```

Computed properties:
- theoretical density (g/cm3) = 7.163
- space-group type = P4/mmm (123)
- V (Å³ per atom) = 20.68
- total moment (μB/f.u.) = 0.0
- raw total energy (eV/atom) = -6.3079
- DOS at the Fermi energy (states/eV per cell) = 3.04
- crystal system = tetragonal

***

12.
Entry from the Alexandria database: a geometry-optimized SrAu12 structure (GGA-PBE).

Cell and atoms, written as POSCAR:
```
SrAu12
1.0
-4.779 4.779 2.855
4.779 -4.779 2.855
4.779 4.779 -2.855
Sr Au
1 12
Cartesian
0.000 0.000 0.000 Sr
2.389 2.389 -1.428 Au
3.343 0.000 0.000 Au
2.389 -2.389 1.428 Au
6.214 0.000 0.000 Au
4.779 2.701 0.000 Au
0.000 3.343 0.000 Au
-2.389 2.389 1.428 Au
2.701 4.779 0.000 Au
2.389 2.389 1.428 Au
2.077 0.000 2.855 Au
0.000 6.214 0.000 Au
0.000 2.077 2.855 Au
```

Computed properties:
- theoretical density (g/cm3) = 15.609
- space-group type = I4/mmm (139)
- V (Å³ per atom) = 20.06
- total moment (μB/f.u.) = 0.0
- DOS at the Fermi energy (states/eV per cell) = 3.20
- formation energy (kJ/mol of atoms) = -18
- crystal system = tetragonal

***

13.
Entry from the Alexandria database: a geometry-optimized LiHfCdNi structure (GGA-PBE).

Cell and atoms, written as POSCAR:
```
LiHfCdNi
1.0
0.000 3.169 3.169
3.169 0.000 3.169
3.169 3.169 0.000
Li Hf Cd Ni
1 1 1 1
Cartesian
0.000 0.000 0.000 Li
4.754 4.754 4.754 Hf
1.585 1.585 1.585 Cd
3.169 3.169 3.169 Ni
```

Computed properties:
- theoretical density (g/cm3) = 9.301
- space-group type = F-43m (216)
- V (Å³ per atom) = 15.91
- total moment (μB/f.u.) = 0.0
- DOS at the Fermi energy (states/eV per cell) = 7.07
- formation energy (kJ/mol of atoms) = -11
- crystal system = cubic

***

14.
Entry from the Alexandria database: a geometry-optimized Sr2BH structure (GGA-PBE).

Cell and atoms, written as POSCAR:
```
Sr2BH
1.0
0.000 3.491 3.491
3.491 0.000 3.491
3.491 3.491 0.000
Sr B H
2 1 1
Cartesian
1.745 1.745 1.745 Sr
5.236 5.236 5.236 Sr
0.000 0.000 0.000 B
3.491 3.491 3.491 H
```

Computed properties:
- theoretical density (g/cm3) = 3.651
- space-group type = Fm-3m (225)
- V (Å³ per atom) = 21.27
- total moment (μB/f.u.) = 2.0
- DOS at the Fermi energy (states/eV per cell) = 2.76
- distance to the lowest polymorph of the same formula (meV per atom) = 58.0
- crystal system = cubic

***

15.
Entry from the Alexandria database: a geometry-optimized TaAl2B structure (GGA-PBE).

Cell and atoms, written as POSCAR:
```
TaAl2B
1.0
-3.491 3.491 2.361
3.491 -3.491 2.361
3.491 3.491 -2.361
Ta Al B
2 4 2
Cartesian
0.000 0.000 0.000 Ta
0.000 3.491 1.181 Ta
1.746 -1.158 1.771 Al
2.334 1.746 0.590 Al
1.746 4.649 -0.590 Al
1.158 1.746 2.951 Al
3.491 0.000 1.181 B
0.000 0.000 2.361 B
```

Computed properties:
- theoretical density (g/cm3) = 7.089
- space-group type = I-42d (122)
- V (Å³ per atom) = 14.39
- total moment (μB/f.u.) = 0.0
- DOS at the Fermi energy (states/eV per cell) = 4.25
- formation energy (kJ/mol of atoms) = 15
- crystal system = tetragonal

***

16.
Entry from the Alexandria database: a geometry-optimized Ce7Ir2Os2 structure (GGA-PBE).

Cell and atoms, written as POSCAR:
```
Ce7Ir2Os2
1.0
3.887 -5.282 0.000
3.887 5.282 0.000
0.000 0.000 6.686
Ce Ir Os
7 2 2
Cartesian
0.000 0.000 0.000 Ce
1.944 2.641 1.948 Ce
1.944 2.641 4.738 Ce
1.944 -2.641 1.948 Ce
1.944 -2.641 4.738 Ce
3.887 0.000 1.955 Ce
3.887 0.000 4.731 Ce
3.887 2.210 0.000 Ir
3.887 -2.210 0.000 Ir
1.248 0.000 3.343 Os
6.527 0.000 3.343 Os
```

Computed properties:
- theoretical density (g/cm3) = 10.558
- space-group type = Cmmm (65)
- V (Å³ per atom) = 24.96
- total moment (μB/f.u.) = 1.3
- DOS at the Fermi energy (states/eV per cell) = 27.32
- formation energy (kJ/mol of atoms) = -20
- crystal system = orthorhombic

***

17.
Entry from the Alexandria database: a geometry-optimized RbNpPdS4 structure (GGA-PBE).

Cell and atoms, written as POSCAR:
```
RbNpPdS4
1.0
6.866 0.000 0.000
0.000 5.430 0.000
-2.769 0.000 9.038
Rb Np Pd S
2 2 2 8
Cartesian
1.580 1.357 0.415 Rb
2.517 4.072 8.623 Rb
0.354 1.357 5.000 Np
3.743 4.072 4.038 Np
0.686 4.072 2.845 Pd
3.411 1.357 6.193 Pd
-1.694 2.942 6.242 S
-1.694 5.203 6.242 S
1.302 4.072 5.148 S
2.775 4.072 1.686 S
1.322 1.357 7.352 S
2.795 1.357 3.890 S
5.790 0.227 2.796 S
5.790 2.488 2.796 S
```

Computed properties:
- theoretical density (g/cm3) = 5.492
- space-group type = P2_1/m (11)
- V (Å³ per atom) = 24.07
- total moment (μB/f.u.) = 2.0
- raw total energy (eV/atom) = -5.9306
- DOS at the Fermi energy (states/eV per cell) = 15.75
- crystal system = monoclinic

***

18.
Entry from the Alexandria database: a geometry-optimized MnVHg2Cl structure (GGA-PBE).

Cell and atoms, written as POSCAR:
```
MnVHg2Cl
1.0
5.381 0.000 0.000
0.000 5.381 0.000
0.000 0.000 4.643
Mn V Hg Cl
1 1 2 1
Cartesian
0.000 0.000 0.000 Mn
0.000 0.000 2.321 V
0.000 2.691 2.321 Hg
2.691 0.000 2.321 Hg
2.691 2.691 0.000 Cl
```

Computed properties:
- theoretical density (g/cm3) = 6.700
- space-group type = P4/mmm (123)
- V (Å³ per atom) = 26.89
- total moment (μB/f.u.) = 0.9
- raw total energy (eV/atom) = -3.5717
- DOS at the Fermi energy (states/eV per cell) = 2.59
- crystal system = tetragonal

***

19.
Entry from the Alexandria database: a geometry-optimized Tb2Er5Th4 structure (GGA-PBE).

Cell and atoms, written as POSCAR:
```
Tb2Er5Th4
1.0
3.562 0.000 0.000
-0.008 8.627 0.000
-1.768 -2.982 11.295
Tb Er Th
2 5 4
Cartesian
0.000 1.361 2.033 Tb
1.787 4.285 9.263 Tb
-0.004 4.313 0.000 Er
0.003 4.292 6.148 Er
0.007 1.316 8.205 Er
1.780 4.330 3.090 Er
1.784 1.353 5.147 Er
-0.004 7.135 4.118 Th
0.011 -1.519 10.252 Th
1.776 7.164 1.044 Th
1.790 -1.489 7.177 Th
```

Computed properties:
- theoretical density (g/cm3) = 9.962
- space-group type = P-1 (2)
- V (Å³ per atom) = 31.56
- total moment (μB/f.u.) = 0.0
- DOS at the Fermi energy (states/eV per cell) = 15.75
- distance to the lowest polymorph of the same formula (meV per atom) = 0.0
- formation energy (kJ/mol of atoms) = 2
- crystal system = triclinic

***

20.
Entry from the Alexandria database: a geometry-optimized Na2InPb3 structure (GGA-PBE).

Cell and atoms, written as POSCAR:
```
Na2InPb3
1.0
4.331 -4.823 0.000
4.331 4.823 0.000
-1.834 0.000 8.455
Na In Pb
4 2 6
Cartesian
1.643 2.449 7.390 Na
4.269 2.449 5.293 Na
2.560 -2.449 3.162 Na
5.186 -2.449 1.066 Na
3.873 0.797 2.114 In
2.956 -0.797 6.341 In
3.873 3.935 2.114 Pb
1.302 0.792 4.238 Pb
2.219 -0.792 0.010 Pb
4.609 0.792 8.445 Pb
5.526 -0.792 4.217 Pb
2.956 -3.935 6.341 Pb
```

Computed properties:
- theoretical density (g/cm3) = 7.355
- space-group type = C2/c (15)
- V (Å³ per atom) = 29.44
- total moment (μB/f.u.) = 0.0
- DOS at the Fermi energy (states/eV per cell) = 6.56
- distance to the lowest polymorph of the same formula (meV per atom) = 10.5
- formation energy (kJ/mol of atoms) = -9
- crystal system = monoclinic